<a>
## NaZnCl3 (PBE)

Data for crystalline NaZnCl3 at its relaxed geometry.

a b c (Å): 9.3076 9.3076 7.1141
angles (deg): 107.87 107.87 82.13
Closest atoms and distances in Å follow each position.
Sites, in units of the cell vectors:
Na 0.0973 0.9027 0.7500  6 Cl 2.80-2.91
Na 0.2625 0.7375 0.2500  6 Cl 2.79-2.96
Na 0.7375 0.2625 0.7500  6 Cl 2.79-2.96
Na 0.9027 0.0973 0.2500  6 Cl 2.80-2.91
Zn 0.2043 0.3769 0.8210  4 Cl 2.25-2.37
Zn 0.3769 0.2043 0.3210  4 Cl 2.25-2.37
Zn 0.6231 0.7957 0.6790  4 Cl 2.25-2.37
Zn 0.7957 0.6231 0.1790  4 Cl 2.25-2.37
Cl 0.0288 0.1991 0.6769  1 Zn 2.26
Cl 0.1293 0.6188 0.8296  1 Zn 2.25
Cl 0.1991 0.0288 0.1769  1 Zn 2.26
Cl 0.3009 0.4061 0.1788  2 Zn 2.33-2.37
Cl 0.3812 0.8707 0.6704  1 Zn 2.25
Cl 0.4061 0.3009 0.6788  2 Zn 2.33-2.37
Cl 0.5939 0.6991 0.3212  2 Zn 2.33-2.37
Cl 0.6188 0.1293 0.3296  1 Zn 2.25
Cl 0.6991 0.5939 0.8212  2 Zn 2.33-2.37
Cl 0.8009 0.9712 0.8231  1 Zn 2.26
Cl 0.8707 0.3812 0.1704  1 Zn 2.25
Cl 0.9712 0.8009 0.3231  1 Zn 2.26

Size of the total moment: 0.001 Bohr magnetons per cell
Fermi-level density of states: 0.0 states/eV/f.u.
SG: C2/c, No. 15

***

<b>
## NaZnCl3 (PBE)

Data for crystalline NaZnCl3 at its relaxed geometry.

a b c (Å): 4.5125 6.8946 9.4752
angles (deg): 69.72 89.79 86.21
Closest atoms and distances in Å follow each position.
Sites, in units of the cell vectors:
Na 0.0000 0.0000 0.0000  6 Cl 2.78-3.06
Na 0.4583 0.5252 0.8869  6 Cl 2.78-3.07
Zn 0.2267 0.3114 0.2683  4 Cl 2.29-2.33
Zn 0.2338 0.2140 0.6190  4 Cl 2.29-2.33
Cl 0.0105 0.0616 0.4662  2 Zn 2.32-2.33
Cl 0.4498 0.4638 0.4210  2 Zn 2.33
Cl 0.4738 0.1361 0.1312  1 Zn 2.30
Cl 0.4911 0.9517 0.8043  1 Zn 2.29
Cl 0.9686 0.5735 0.0830  1 Zn 2.29
Cl 0.9855 0.3893 0.7557  1 Zn 2.30

Size of the total moment: 0.000 Bohr magnetons per cell
Fermi-level density of states: 0.0 states/eV/f.u.
SG: P1, No. 1

***

<c>
## NaZnCl3 (PBE)

Data for crystalline NaZnCl3 at its relaxed geometry.

a b c (Å): 5.0723 5.0723 5.0723
angles (deg): 90.00 90.00 90.00
Closest atoms and distances in Å follow each position.
Sites, in units of the cell vectors:
Na 0.0000 0.0000 0.0000  6 Cl 2.54
Zn 0.5000 0.5000 0.5000  12 Cl 3.59
Cl 0.0000 0.0000 0.5000  2 Na 2.54
Cl 0.0000 0.5000 0.0000  2 Na 2.54
Cl 0.5000 0.0000 0.0000  2 Na 2.54

Size of the total moment: 0.000 Bohr magnetons per cell
Fermi-level density of states: 3.4 states/eV/f.u.
SG: Pm-3m, No. 221

***

<d>
## NaZnCl3 (PBE)

Data for crystalline NaZnCl3 at its relaxed geometry.

a b c (Å): 4.9109 4.9109 4.9109
angles (deg): 90.00 90.00 90.00
Closest atoms and distances in Å follow each position.
Sites, in units of the cell vectors:
Na 0.0000 0.0000 0.0000  12 Cl 3.47
Zn 0.5000 0.5000 0.5000  6 Cl 2.46
Cl 0.0000 0.5000 0.5000  2 Zn 2.46
Cl 0.5000 0.0000 0.5000  2 Zn 2.46
Cl 0.5000 0.5000 0.0000  2 Zn 2.46

Size of the total moment: 0.000 Bohr magnetons per cell
Fermi-level density of states: 0.0 states/eV/f.u.
SG: Pm-3m, No. 221

***

Least stable structure: <c>

***

<a>
## Na3ZrCl (PBE)

Data for crystalline Na3ZrCl at its relaxed geometry.

a b c (Å): 5.4003 5.4003 5.4003
angles (deg): 90.00 90.00 90.00
Closest atoms and distances in Å follow each position.
Sites, in units of the cell vectors:
Na 0.0000 0.0000 0.5000  2 Cl 2.70
Na 0.0000 0.5000 0.0000  2 Cl 2.70
Na 0.5000 0.0000 0.0000  2 Cl 2.70
Zr 0.5000 0.5000 0.5000  12 Na 3.82
Cl 0.0000 0.0000 0.0000  6 Na 2.70

Size of the total moment: 4.002 Bohr magnetons per cell
Fermi-level density of states: 12.0 states/eV/f.u.
SG: Pm-3m, No. 221

***

<b>
## Na3ZrCl (PBE)

Data for crystalline Na3ZrCl at its relaxed geometry.

a b c (Å): 6.3253 6.3253 6.3253
angles (deg): 90.00 90.00 90.00
Closest atoms and distances in Å follow each position.
Sites, in units of the cell vectors:
Na 0.0000 0.0000 0.5000  2 Zr 3.16
Na 0.0000 0.5000 0.0000  2 Zr 3.16
Na 0.5000 0.0000 0.0000  2 Zr 3.16
Zr 0.0000 0.0000 0.0000  6 Na 3.16
Cl 0.5000 0.5000 0.5000  12 Na 4.47

Size of the total moment: 4.000 Bohr magnetons per cell
Fermi-level density of states: 21.4 states/eV/f.u.
SG: Pm-3m, No. 221

***

Least stable structure: <b>

***

<a>
## NaZr3Cl (PBE)

Data for crystalline NaZr3Cl at its relaxed geometry.

a b c (Å): 5.1306 5.1306 5.1306
angles (deg): 90.00 90.00 90.00
Closest atoms and distances in Å follow each position.
Sites, in units of the cell vectors:
Na 0.0000 0.0000 0.0000  6 Zr 2.57
Zr 0.0000 0.0000 0.5000  2 Na 2.57
Zr 0.0000 0.5000 0.0000  2 Na 2.57
Zr 0.5000 0.0000 0.0000  2 Na 2.57
Cl 0.5000 0.5000 0.5000  12 Zr 3.63

Size of the total moment: 2.256 Bohr magnetons per cell
Fermi-level density of states: 6.0 states/eV/f.u.
SG: Pm-3m, No. 221

***

<b>
## NaZr3Cl (PBE)

Data for crystalline NaZr3Cl at its relaxed geometry.

a b c (Å): 4.9058 4.9058 4.9058
angles (deg): 90.00 90.00 90.00
Closest atoms and distances in Å follow each position.
Sites, in units of the cell vectors:
Na 0.0000 0.0000 0.0000  12 Zr 3.47
Zr 0.0000 0.5000 0.5000  2 Cl 2.45
Zr 0.5000 0.0000 0.5000  2 Cl 2.45
Zr 0.5000 0.5000 0.0000  2 Cl 2.45
Cl 0.5000 0.5000 0.5000  6 Zr 2.45

Size of the total moment: 0.000 Bohr magnetons per cell
Fermi-level density of states: 3.3 states/eV/f.u.
SG: Pm-3m, No. 221

***

Least stable structure: <a>

***

<a>
## NaZr2Cl (PBE)

Data for crystalline NaZr2Cl at its relaxed geometry.

a b c (Å): 12.8059 12.8059 12.8059
angles (deg): 162.01 162.01 25.55
Closest atoms and distances in Å follow each position.
Sites, in units of the cell vectors:
Na 0.0000 0.0000 0.0000  4 Cl 2.83
Na 0.7500 0.2500 0.5000  4 Cl 2.83
Zr 0.1307 0.6250 0.0057  4 Zr 2.80-2.86
Zr 0.3750 0.3807 0.5057  4 Zr 2.80-2.86
Zr 0.6193 0.1250 0.9943  4 Zr 2.80-2.86
Zr 0.8750 0.8693 0.4943  4 Zr 2.80-2.86
Cl 0.2500 0.7500 0.5000  4 Na 2.83
Cl 0.5000 0.5000 0.0000  4 Na 2.83

Size of the total moment: 0.000 Bohr magnetons per cell
Fermi-level density of states: 3.1 states/eV/f.u.
SG: I-42d, No. 122

***

<b>
## NaZr2Cl (PBE)

Data for crystalline NaZr2Cl at its relaxed geometry.

a b c (Å): 4.9692 4.9692 4.9692
angles (deg): 60.00 60.00 60.00
Closest atoms and distances in Å follow each position.
Sites, in units of the cell vectors:
Na 0.0000 0.0000 0.0000  8 Zr 3.04
Zr 0.2500 0.2500 0.2500  4 Cl 3.04, 4 Na 3.04
Zr 0.7500 0.7500 0.7500  4 Cl 3.04, 4 Na 3.04
Cl 0.5000 0.5000 0.5000  8 Zr 3.04

Size of the total moment: 0.000 Bohr magnetons per cell
Fermi-level density of states: 2.0 states/eV/f.u.
SG: Fm-3m, No. 225

***

Least stable structure: <b>